A plane-wave DFT calculation with GGA-PBEsol was carried out for NaInW2O8 after structural relaxation.

Lattice parameters (Å, degrees): 10.121 5.837 5.045 90.00 91.00 90.00
Sites, in units of the cell vectors:
Na 0.000 0.182 0.250
Na 0.000 0.818 0.750
In 0.500 0.185 0.250
In 0.500 0.815 0.750
W 0.256 0.323 0.754
W 0.256 0.677 0.254
W 0.744 0.323 0.746
W 0.744 0.677 0.246
O 0.141 0.131 0.622
O 0.141 0.869 0.122
O 0.167 0.405 0.063
O 0.167 0.595 0.563
O 0.367 0.397 0.449
O 0.367 0.603 0.949
O 0.383 0.123 0.895
O 0.383 0.877 0.395
O 0.617 0.123 0.605
O 0.617 0.877 0.105
O 0.633 0.397 0.051
O 0.633 0.603 0.551
O 0.833 0.405 0.437
O 0.833 0.595 0.937
O 0.859 0.131 0.878
O 0.859 0.869 0.378

## Properties
The symmetry is P2/c, No. 13. The total energy is -8.21 eV/atom. The value obtained for the energy relative to the elements, uncorrected is -24.6 eV/f.u.